Entry 1:
# MnVSi2 PBE optimized geometry
# - raw formation energy (eV/f.u.) = -0.95
# - energy (eV/atom) = -7.520
data_MnVSi2
_symmetry_space_group_name_H-M 'P 4/m m m'
_symmetry_Int_Tables_number 123
_symmetry_space_group_name_Hall '-P 4 2'
_cell_length_a 3.763
_cell_length_b 3.763
_cell_length_c 3.501
_cell_angle_alpha 90.00
_cell_angle_beta 90.00
_cell_angle_gamma 90.00
loop_
_atom_site_label
_atom_site_type_symbol
_atom_site_fract_x
_atom_site_fract_y
_atom_site_fract_z
Mn1 Mn 0.000 0.000 0.000
V1 V 0.500 0.500 0.000
Si1 Si 0.000 0.500 0.500

Entry 2:
# Tl5Cd12As3 PBE optimized geometry
# - energy (eV/atom) = -1.645
data_Tl5Cd12As3
_symmetry_space_group_name_H-M 'I a -3 d'
_symmetry_Int_Tables_number 230
_symmetry_space_group_name_Hall '-I 4bd 2c 3'
_cell_length_a 16.979
_cell_length_b 16.979
_cell_length_c 16.979
_cell_angle_alpha 90.00
_cell_angle_beta 90.00
_cell_angle_gamma 90.00
loop_
_atom_site_label
_atom_site_type_symbol
_atom_site_fract_x
_atom_site_fract_y
_atom_site_fract_z
Tl1 Tl 0.000 0.000 0.000
Tl2 Tl 0.000 0.250 0.375
Cd1 Cd 0.016 0.088 0.652
As1 As 0.000 0.250 0.125

Entry 3:
# AcLa2Pu PBE optimized geometry
# - excess energy over the best structure of this formula in the dataset (kJ/mol of atoms) = 9.6
# - energy (eV/atom) = -6.853
data_AcLa2Pu
_symmetry_space_group_name_H-M 'P 4/m m m'
_symmetry_Int_Tables_number 123
_symmetry_space_group_name_Hall '-P 4 2'
_cell_length_a 6.146
_cell_length_b 6.146
_cell_length_c 3.866
_cell_angle_alpha 90.00
_cell_angle_beta 90.00
_cell_angle_gamma 90.00
loop_
_atom_site_label
_atom_site_type_symbol
_atom_site_fract_x
_atom_site_fract_y
_atom_site_fract_z
Ac1 Ac 0.000 0.000 0.000
La1 La 0.000 0.500 0.500
Pu1 Pu 0.500 0.500 0.000